Material: ZnCoNO
Method: DFT, PBE with a Hubbard U
State: optimized geometry

a b c (Å): 3.2748 5.5220 5.0735
angles (deg): 90.00 90.00 90.00
Closest atoms and distances in Å follow each position.
Positions (direct):
Zn: 0.0000 0.1771 0.0000  2 N 1.98, 2 O 2.00-2.02
Zn: 0.0000 0.8229 0.5000  2 N 1.98, 2 O 2.00-2.02
Co: 0.5000 0.3415 0.5125  2 N 1.86-1.87, 2 O 1.97
Co: 0.5000 0.6585 0.0125  2 N 1.86-1.87, 2 O 1.97
N: 0.5000 0.3445 0.8803  2 Co 1.86-1.87, 2 Zn 1.98
N: 0.5000 0.6555 0.3803  2 Co 1.86-1.87, 2 Zn 1.98
O: 0.0000 0.1720 0.3987  2 Co 1.97, 2 Zn 2.00-2.02
O: 0.0000 0.8280 0.8987  2 Co 1.97, 2 Zn 2.00-2.02

Properties
E: -5.20 eV/atom
polymorph energy (0 for the lowest one): 5.1 meV per atom
space-group type: Pmc2_1